DFT (GGA+U) results for HoMn2PO8 after structural relaxation.

a = 5.6940 Å, b = 5.6940 Å, c = 5.6327 Å
α = 90.00°, β = 90.00°, γ = 120.00°
Closest atoms and distances in Å follow each position.
Space group P-3m1 (No. 164)
Unique sites:
Ho  0.0000  0.0000  0.0000 [1 per cell]  6 O 2.27
Mn  0.3333  0.6667  0.5895 [2 per cell]  1 O 1.70
P  0.0000  0.0000  0.5000 [1 per cell]  6 O 1.74
O  0.1418  0.2837  0.6835 [6 per cell]  1 P 1.74
O  0.3333  0.6667  0.2875 [2 per cell]  1 Mn 1.70

Results
DFT total energy   -6.9127 eV/atom